(1)
TbHo2Tm3As6: relaxed, GGA-PBE.

```
data_TbHo2Tm3As6
_chemical_formula_sum 'Tb1 Ho2 Tm3 As6'
_space_group_name_H-M_alt 'P 1'
_space_group_IT_number 1
_cell_length_a 4.0886
_cell_length_b 8.1734
_cell_length_c 9.1392
_cell_angle_alpha 102.88
_cell_angle_beta 102.93
_cell_angle_gamma 90.00
loop_
_space_group_symop_operation_xyz
'x,y,z'
loop_
_atom_site_label
_atom_site_fract_x
_atom_site_fract_y
_atom_site_fract_z
Tb1 0.5000 0.0000 0.0000
As1 0.6678 0.0822 0.3357
Ho1 0.1669 0.3334 0.3338
As2 0.6661 0.5844 0.3323
Tm1 0.8335 0.1671 0.6670
Tm2 0.5000 0.5000 0.0000
Ho2 0.8331 0.6666 0.6662
As3 0.3322 0.9178 0.6643
Tm3 0.1665 0.8329 0.3330
As4 0.0004 0.7469 0.0008
As5 0.3339 0.4156 0.6677
As6 0.9996 0.2531 0.9992
```

Values from the calculation:
The crystal system is monoclinic. The space group is C2/m (12). As for the energy of formation: -1.52 eV/atom.

---

(2)
Tl2BiPbSe4: relaxed, GGA-PBE.

```
data_Tl2BiPbSe4
_chemical_formula_sum 'Tl2 Bi1 Pb1 Se4'
_space_group_name_H-M_alt 'P 1'
_space_group_IT_number 1
_cell_length_a 4.3273
_cell_length_b 7.5527
_cell_length_c 7.7258
_cell_angle_alpha 109.00
_cell_angle_beta 90.00
_cell_angle_gamma 90.00
loop_
_space_group_symop_operation_xyz
'x,y,z'
loop_
_atom_site_label
_atom_site_fract_x
_atom_site_fract_y
_atom_site_fract_z
Pb1 0.5000 0.5000 0.0000
Se1 0.0000 0.2459 0.7650
Se2 0.0000 0.7541 0.2350
Se3 0.5000 0.7652 0.7716
Tl1 0.0000 0.5000 0.5000
Tl2 0.5000 0.0000 0.5000
Se4 0.5000 0.2348 0.2284
Bi1 0.0000 0.0000 0.0000
```

Values from the calculation:
The crystal system is monoclinic. The space group is P2/m (10). The value obtained for the formation energy (no corrections) is -0.42 eV per atom.

---

(3)
SrIn2P2: relaxed, GGA-PBE.

```
data_SrIn2P2
_chemical_formula_sum 'Sr2 In4 P4'
_space_group_name_H-M_alt 'P 1'
_space_group_IT_number 1
_cell_length_a 4.1483
_cell_length_b 4.1483
_cell_length_c 18.0157
_cell_angle_alpha 90.00
_cell_angle_beta 90.00
_cell_angle_gamma 120.00
loop_
_space_group_symop_operation_xyz
'x,y,z'
loop_
_atom_site_label
_atom_site_fract_x
_atom_site_fract_y
_atom_site_fract_z
P1 0.6667 0.3333 0.6081
In1 0.6667 0.3333 0.3282
P2 0.3333 0.6667 0.1081
In2 0.3333 0.6667 0.8282
In3 0.6667 0.3333 0.1718
In4 0.3333 0.6667 0.6718
Sr1 0.0000 0.0000 0.0000
P3 0.6667 0.3333 0.8919
P4 0.3333 0.6667 0.3919
Sr2 0.0000 0.0000 0.5000
```

Values from the calculation:
The crystal system is hexagonal. The space group is P6_3/mmc (194). As for the energy of formation: -0.60 eV/atom.

---

(4)
CsGaAgHg2: relaxed, GGA-PBE.

```
data_CsGaAgHg2
_chemical_formula_sum 'Cs1 Ga1 Ag1 Hg2'
_space_group_name_H-M_alt 'P 1'
_space_group_IT_number 1
_cell_length_a 5.6638
_cell_length_b 5.6638
_cell_length_c 5.1520
_cell_angle_alpha 90.00
_cell_angle_beta 90.00
_cell_angle_gamma 90.00
loop_
_space_group_symop_operation_xyz
'x,y,z'
loop_
_atom_site_label
_atom_site_fract_x
_atom_site_fract_y
_atom_site_fract_z
Hg1 0.5000 0.0000 0.0000
Cs1 0.5000 0.5000 0.5000
Ag1 0.0000 0.0000 0.0000
Ga1 0.0000 0.0000 0.5000
Hg2 0.0000 0.5000 0.0000
```

Values from the calculation:
The crystal system is tetragonal. The space group is P4/mmm (123). The calculation puts the energy above the most stable polymorph in this dataset at 7.72 kJ per mole of atoms. As for the energy of formation: 0.00 eV/atom.

---

(5)
TcTe3: relaxed, GGA-PBE.

```
data_TcTe3
_chemical_formula_sum 'Tc2 Te6'
_space_group_name_H-M_alt 'P 1'
_space_group_IT_number 1
_cell_length_a 9.2854
_cell_length_b 9.2854
_cell_length_c 3.8588
_cell_angle_alpha 90.00
_cell_angle_beta 90.00
_cell_angle_gamma 125.09
loop_
_space_group_symop_operation_xyz
'x,y,z'
loop_
_atom_site_label
_atom_site_fract_x
_atom_site_fract_y
_atom_site_fract_z
Te1 0.8845 0.1155 0.2500
Te2 0.4022 0.1241 0.2500
Te3 0.1241 0.4022 0.7500
Te4 0.5978 0.8759 0.7500
Te5 0.1155 0.8845 0.7500
Tc1 0.4591 0.5409 0.7500
Te6 0.8759 0.5978 0.2500
Tc2 0.5409 0.4591 0.2500
```

Values from the calculation:
The crystal system is orthorhombic. The space group is Cmcm (63). The calculation puts the energy above the most stable polymorph in this dataset at 24.47 kJ per mole of atoms. The value obtained for the formation energy (no corrections) is 0.28 eV per atom.

---

(6)
Pr2ZnNi12B3: relaxed, GGA-PBE.

```
data_Pr2ZnNi12B3
_chemical_formula_sum 'Pr2 Zn1 Ni12 B3'
_space_group_name_H-M_alt 'P 1'
_space_group_IT_number 1
_cell_length_a 6.7988
_cell_length_b 6.7988
_cell_length_c 6.7988
_cell_angle_alpha 64.60
_cell_angle_beta 64.60
_cell_angle_gamma 64.60
loop_
_space_group_symop_operation_xyz
'x,y,z'
loop_
_atom_site_label
_atom_site_fract_x
_atom_site_fract_y
_atom_site_fract_z
B1 0.0000 0.5000 0.0000
Ni1 0.7218 0.7218 0.1120
Ni2 0.1298 0.5964 0.1298
Pr1 0.3990 0.3990 0.3990
B2 0.5000 0.0000 0.0000
Ni3 0.4036 0.8702 0.8702
Ni4 0.2782 0.2782 0.8880
Ni5 0.1120 0.7218 0.7218
Ni6 0.5964 0.1298 0.1298
Ni7 0.8702 0.4036 0.8702
Ni8 0.8702 0.8702 0.4036
B3 0.0000 0.0000 0.5000
Ni9 0.2782 0.8880 0.2782
Zn1 0.0000 0.0000 0.0000
Ni10 0.1298 0.1298 0.5964
Ni11 0.8880 0.2782 0.2782
Pr2 0.6010 0.6010 0.6010
Ni12 0.7218 0.1120 0.7218
```

Values from the calculation:
The crystal system is trigonal. The space group is R-3m (166). As for the energy of formation: -0.03 eV/atom.

---

(7)
NiMo2AsP: relaxed, GGA-PBE.

```
data_NiMo2AsP
_chemical_formula_sum 'Ni1 Mo2 As1 P1'
_space_group_name_H-M_alt 'P 1'
_space_group_IT_number 1
_cell_length_a 4.4452
_cell_length_b 4.6714
_cell_length_c 4.4452
_cell_angle_alpha 90.00
_cell_angle_beta 90.00
_cell_angle_gamma 90.00
loop_
_space_group_symop_operation_xyz
'x,y,z'
loop_
_atom_site_label
_atom_site_fract_x
_atom_site_fract_y
_atom_site_fract_z
Ni1 0.5000 0.5000 0.5000
P1 0.0000 0.0000 0.0000
Mo1 0.0000 0.0000 0.5000
Mo2 0.5000 0.0000 0.0000
As1 0.0000 0.5000 0.0000
```

Values from the calculation:
The crystal system is tetragonal. The space group is P4/mmm (123). As for the energy of formation: 1.08 eV/atom.

---

(8)
K5HF8: relaxed, GGA-PBE.

```
data_K5HF8
_chemical_formula_sum 'K5 H1 F8'
_space_group_name_H-M_alt 'P 1'
_space_group_IT_number 1
_cell_length_a 6.9789
_cell_length_b 6.9789
_cell_length_c 6.9789
_cell_angle_alpha 115.22
_cell_angle_beta 98.50
_cell_angle_gamma 115.22
loop_
_space_group_symop_operation_xyz
'x,y,z'
loop_
_atom_site_label
_atom_site_fract_x
_atom_site_fract_y
_atom_site_fract_z
K1 0.7535 0.5893 0.6191
K2 0.0298 0.4107 0.1642
H1 0.2500 0.5000 0.7500
F1 0.6884 0.1782 0.2772
F2 0.2172 0.3581 0.4999
K3 0.8358 0.8656 0.2465
F3 0.4898 0.5888 0.3116
F4 0.1409 0.2827 0.7828
F5 0.5001 0.7173 0.8582
F6 0.0990 0.8218 0.5102
F7 0.7228 0.4112 0.9010
K4 0.5000 0.0000 0.5000
F8 0.1418 0.6419 0.8591
K5 0.3809 0.1344 0.9702
```

Values from the calculation:
The crystal system is tetragonal. The space group is I-4 (82).

---

(9)
Ta3BeIn: relaxed, GGA-PBE.

```
data_Ta3BeIn
_chemical_formula_sum 'Ta3 Be1 In1'
_space_group_name_H-M_alt 'P 1'
_space_group_IT_number 1
_cell_length_a 4.4612
_cell_length_b 4.4612
_cell_length_c 4.4612
_cell_angle_alpha 90.00
_cell_angle_beta 90.00
_cell_angle_gamma 90.00
loop_
_space_group_symop_operation_xyz
'x,y,z'
loop_
_atom_site_label
_atom_site_fract_x
_atom_site_fract_y
_atom_site_fract_z
Ta1 0.5000 0.0000 0.0000
Be1 0.0000 0.0000 0.0000
In1 0.5000 0.5000 0.5000
Ta2 0.0000 0.0000 0.5000
Ta3 0.0000 0.5000 0.0000
```

Values from the calculation:
The crystal system is cubic. The space group is Pm-3m (221). The calculation puts the energy above the most stable polymorph in this dataset at 0.00 kJ per mole of atoms. As for the energy of formation: 0.41 eV/atom.

---

(10)
KAcP2Pt4: relaxed, GGA-PBE.

```
data_KAcP2Pt4
_chemical_formula_sum 'K1 Ac1 P2 Pt4'
_space_group_name_H-M_alt 'P 1'
_space_group_IT_number 1
_cell_length_a 4.1397
_cell_length_b 4.1397
_cell_length_c 10.9296
_cell_angle_alpha 90.00
_cell_angle_beta 90.00
_cell_angle_gamma 90.00
loop_
_space_group_symop_operation_xyz
'x,y,z'
loop_
_atom_site_label
_atom_site_fract_x
_atom_site_fract_y
_atom_site_fract_z
Ac1 0.0000 0.0000 0.0000
P1 0.5000 0.5000 0.3191
Pt1 0.0000 0.5000 0.7821
K1 0.0000 0.0000 0.5000
Pt2 0.5000 0.0000 0.2179
Pt3 0.5000 0.0000 0.7821
P2 0.5000 0.5000 0.6809
Pt4 0.0000 0.5000 0.2179
```

Values from the calculation:
The crystal system is tetragonal. The space group is P4/mmm (123). As for the energy of formation: -0.71 eV/atom.

---

(11)
Ag2PdAu8: relaxed, GGA-PBE.

```
data_Ag2PdAu8
_chemical_formula_sum 'Ag2 Pd1 Au8'
_space_group_name_H-M_alt 'P 1'
_space_group_IT_number 1
_cell_length_a 5.4855
_cell_length_b 8.1358
_cell_length_c 7.7074
_cell_angle_alpha 58.14
_cell_angle_beta 68.47
_cell_angle_gamma 45.93
loop_
_space_group_symop_operation_xyz
'x,y,z'
loop_
_atom_site_label
_atom_site_fract_x
_atom_site_fract_y
_atom_site_fract_z
Ag1 0.0000 0.6949 0.6102
Au1 0.0927 0.6777 0.2243
Pd1 0.5000 0.0000 0.0000
Au2 0.9073 0.0980 0.2243
Au3 0.5000 0.2190 0.5619
Au4 0.5000 0.7810 0.4381
Au5 0.9073 0.3223 0.7757
Au6 0.6704 0.5978 0.0000
Ag2 0.0000 0.3051 0.3898
Au7 0.0927 0.9020 0.7757
Au8 0.3296 0.4022 0.0000
```

Values from the calculation:
The crystal system is monoclinic. The space group is C2/m (12). The calculation puts the energy above the most stable polymorph in this dataset at 11.93 kJ per mole of atoms. As for the energy of formation: 0.07 eV/atom.

---

(12)
MgZnTc2: relaxed, GGA-PBE.

```
data_MgZnTc2
_chemical_formula_sum 'Mg1 Zn1 Tc2'
_space_group_name_H-M_alt 'P 1'
_space_group_IT_number 1
_cell_length_a 2.6690
_cell_length_b 2.6690
_cell_length_c 8.8867
_cell_angle_alpha 90.00
_cell_angle_beta 90.00
_cell_angle_gamma 106.79
loop_
_space_group_symop_operation_xyz
'x,y,z'
loop_
_atom_site_label
_atom_site_fract_x
_atom_site_fract_y
_atom_site_fract_z
Zn1 0.5000 0.5000 0.2500
Mg1 0.5000 0.5000 0.7500
Tc1 0.0000 0.0000 0.4919
Tc2 0.0000 0.0000 0.0081
```

Values from the calculation:
The crystal system is orthorhombic. The space group is Cmmm (65). The calculation puts the energy above the most stable polymorph in this dataset at 24.35 kJ per mole of atoms. As for the energy of formation: 0.20 eV/atom.

---

(13)
Tb6Pr2Dy3Sc: relaxed, GGA-PBE.

```
data_Tb6Pr2Dy3Sc
_chemical_formula_sum 'Tb6 Pr2 Dy3 Sc1'
_space_group_name_H-M_alt 'P 1'
_space_group_IT_number 1
_cell_length_a 6.1553
_cell_length_b 6.1553
_cell_length_c 11.8144
_cell_angle_alpha 94.97
_cell_angle_beta 94.97
_cell_angle_gamma 119.98
loop_
_space_group_symop_operation_xyz
'x,y,z'
loop_
_atom_site_label
_atom_site_fract_x
_atom_site_fract_y
_atom_site_fract_z
Tb1 0.4130 0.0833 0.2512
Tb2 0.9167 0.5870 0.7488
Dy1 0.1662 0.8338 0.5000
Pr1 0.3337 0.6663 0.0000
Tb3 0.2466 0.2466 0.7483
Dy2 0.8338 0.1662 0.5000
Tb4 0.0833 0.4130 0.2512
Tb5 0.7534 0.7534 0.2517
Pr2 0.6663 0.3337 0.0000
Sc1 0.0000 0.0000 0.0000
Dy3 0.5000 0.5000 0.5000
Tb6 0.5870 0.9167 0.7488
```

Values from the calculation:
The crystal system is monoclinic. The space group is C2/m (12). As for the energy of formation: 0.02 eV/atom.

---

Number 1: total energy -0.225 hartree per atom, DOS(E_F) 1.86 states/eV/f.u.. Number 2: total energy -0.136 hartree per atom, DOS(E_F) 3.68 states/eV/f.u.. Number 3: total energy -0.154 hartree per atom, DOS(E_F) 0.03 states/eV/f.u.. Number 4: total energy -0.054 hartree per atom, DOS(E_F) 2.62 states/eV/f.u.. Number 5: total energy -0.171 hartree per atom, DOS(E_F) 2.85 states/eV/f.u.. Number 6: total energy -0.206 hartree per atom, DOS(E_F) 10.64 states/eV/f.u.. Number 7: total energy -0.236 hartree per atom, DOS(E_F) 6.87 states/eV/f.u.. Number 8: total energy -0.136 hartree per atom, DOS(E_F) 10.81 states/eV/f.u.. Number 9: total energy -0.294 hartree per atom, DOS(E_F) 0.28 states/eV/f.u.. Number 10: total energy -0.211 hartree per atom, DOS(E_F) 4.61 states/eV/f.u.. Number 11: total energy -0.121 hartree per atom, DOS(E_F) 2.98 states/eV/f.u.. Number 12: total energy -0.209 hartree per atom, DOS(E_F) 3.21 states/eV/f.u.. Number 13: total energy -0.175 hartree per atom, DOS(E_F) 15.41 states/eV/f.u..